VASP calculation (GGA-PBE) on crystalline CrSbSe at its relaxed geometry.

Structure (extended XYZ):
```
3
Lattice="-1.7691 -0.4873 -2.8359 3.2456 -0.9241 0.1457 -2.0407 -6.7829 2.4385" Properties=species:S:1:pos:R:3 pbc="T T T"
Sb -0.6250 -2.3860 -1.2118
Se -0.0097 -6.0424 1.0442
Cr -1.9703 -6.5487 2.3543
```

Values from the calculation:
The density comes out at 5.7 g/cm3. As for the crystal system: trigonal. The formation energy from raw total energies comes out at -41 kJ/mol of formula units.